DFT (PBE-GGA) results for a relaxed SrDyAs crystal.

Output
symmetry: F-43m, No. 216
DFT total energy: -4.285 eV/atom
theoretical density: 6.0 Mg/m³

a = 5.017 Å, b = 5.017 Å, c = 5.017 Å
α = 60.00°, β = 60.00°, γ = 60.00°
Sites, in units of the cell vectors:
1 Sr 0.000 0.000 0.000
2 Dy 0.500 0.500 0.500
3 As 0.750 0.750 0.750

DFT (PBE-GGA) results for a relaxed Dy2HoAl3Ge2Au crystal.

Output
symmetry: Amm2, No. 38
DFT total energy: -4.889 eV/atom
theoretical density: 8.3 Mg/m³

a = 4.264 Å, b = 7.045 Å, c = 7.045 Å
α = 119.95°, β = 90.00°, γ = 90.00°
Sites, in units of the cell vectors:
1 Dy 0.000 0.207 0.793
2 Dy 0.000 0.793 0.207
3 Ho 0.000 0.621 0.621
4 Al 0.500 0.207 0.445
5 Al 0.500 0.445 0.207
6 Al 0.500 0.969 0.969
7 Ge 0.500 0.541 0.873
8 Ge 0.500 0.873 0.541
9 Au 0.000 0.209 0.209

DFT (PBE-GGA) results for a relaxed Zr4Al3W2N3 crystal.

Output
symmetry: C2/c, No. 15
DFT total energy: -8.779 eV/atom
theoretical density: 7.9 Mg/m³

a = 5.472 Å, b = 5.472 Å, c = 14.281 Å
α = 101.10°, β = 101.10°, γ = 60.03°
Sites, in units of the cell vectors:
1 Zr 0.031 0.200 0.095
2 Zr 0.136 0.301 0.405
3 Zr 0.200 0.031 0.595
4 Zr 0.301 0.136 0.905
5 Zr 0.699 0.864 0.095
6 Zr 0.800 0.969 0.405
7 Zr 0.864 0.699 0.595
8 Zr 0.969 0.800 0.905
9 Al 0.128 0.872 0.250
10 Al 0.297 0.416 0.750
11 Al 0.416 0.297 0.250
12 Al 0.584 0.703 0.750
13 Al 0.703 0.584 0.250
14 Al 0.872 0.128 0.750
15 W 0.366 0.529 0.086
16 W 0.471 0.634 0.414
17 W 0.529 0.366 0.586
18 W 0.634 0.471 0.914
19 N 0.000 0.500 0.000
20 N 0.166 0.667 0.500
21 N 0.333 0.834 0.000
22 N 0.500 0.000 0.500
23 N 0.667 0.166 0.000
24 N 0.834 0.333 0.500

DFT (PBE-GGA) results for a relaxed TbTcB crystal.

Output
symmetry: F-43m, No. 216
DFT total energy: -7.026 eV/atom
theoretical density: 9.0 Mg/m³

a = 4.126 Å, b = 4.126 Å, c = 4.126 Å
α = 60.00°, β = 60.00°, γ = 60.00°
Sites, in units of the cell vectors:
1 Tb 0.000 0.000 0.000
2 Tc 0.500 0.500 0.500
3 B 0.250 0.250 0.250

DFT (PBE-GGA) results for a relaxed TcGe2W2 crystal.

Output
symmetry: I4/mmm, No. 139
DFT total energy: -8.294 eV/atom
theoretical density: 12.1 Mg/m³

a = 6.465 Å, b = 6.465 Å, c = 6.465 Å
α = 146.08°, β = 146.08°, γ = 48.73°
Sites, in units of the cell vectors:
1 Tc 0.000 0.000 0.000
2 Ge 0.401 0.401 0.000
3 Ge 0.599 0.599 0.000
4 W 0.250 0.750 0.500
5 W 0.750 0.250 0.500

DFT (PBE-GGA) results for a relaxed YOsPd crystal.

Output
symmetry: F-43m, No. 216
DFT formation energy: 0.80 eV per atom
theoretical density: 9.8 Mg/m³

a = 4.528 Å, b = 4.528 Å, c = 4.528 Å
α = 60.00°, β = 60.00°, γ = 60.00°
Sites, in units of the cell vectors:
1 Y 0.000 0.000 0.000
2 Os 0.750 0.750 0.750
3 Pd 0.250 0.250 0.250

DFT (PBE-GGA) results for a relaxed Sr2PrO4 crystal.

Output
symmetry: Fd-3m, No. 227
DFT total energy: -6.585 eV/atom
theoretical density: 4.8 Mg/m³

a = 7.194 Å, b = 7.194 Å, c = 7.194 Å
α = 60.00°, β = 60.00°, γ = 60.00°
Sites, in units of the cell vectors:
1 Sr 0.000 0.000 0.000
2 Sr 0.000 0.000 0.500
3 Sr 0.000 0.500 0.000
4 Sr 0.500 0.000 0.000
5 Pr 0.375 0.375 0.375
6 Pr 0.625 0.625 0.625
7 O 0.238 0.754 0.754
8 O 0.246 0.246 0.246
9 O 0.246 0.246 0.762
10 O 0.246 0.762 0.246
11 O 0.754 0.238 0.754
12 O 0.754 0.754 0.238
13 O 0.754 0.754 0.754
14 O 0.762 0.246 0.246

DFT (PBE-GGA) results for a relaxed KGd crystal.

Output
symmetry: Fm-3m, No. 225
polymorph energy (0 for the lowest one): 704 meV per atom
theoretical density: 3.8 Mg/m³

a = 4.932 Å, b = 4.932 Å, c = 4.932 Å
α = 60.00°, β = 60.00°, γ = 60.00°
Sites, in units of the cell vectors:
1 K 0.000 0.000 0.000
2 Gd 0.500 0.500 0.500

DFT (PBE-GGA) results for a relaxed TeIr crystal.

Output
symmetry: P-6m2, No. 187
DFT total energy: -5.498 eV/atom
theoretical density: 12.7 Mg/m³

a = 3.763 Å, b = 3.763 Å, c = 3.396 Å
α = 90.00°, β = 90.00°, γ = 120.00°
Sites, in units of the cell vectors:
1 Te 0.000 0.000 0.000
2 Ir 0.333 0.667 0.500

DFT (PBE-GGA) results for a relaxed NdIn3N crystal.

Output
symmetry: Pm-3m, No. 221
DFT total energy: -3.971 eV/atom
theoretical density: 7.3 Mg/m³

a = 4.854 Å, b = 4.854 Å, c = 4.854 Å
α = 90.00°, β = 90.00°, γ = 90.00°
Sites, in units of the cell vectors:
1 Nd 0.000 0.000 0.000
2 In 0.000 0.500 0.500
3 In 0.500 0.000 0.500
4 In 0.500 0.500 0.000
5 N 0.500 0.500 0.500

DFT (PBE-GGA) results for a relaxed HgPdO3 crystal.

Output
symmetry: Pnma, No. 62
DFT total energy: -4.015 eV/atom
theoretical density: 9.3 Mg/m³

a = 5.587 Å, b = 8.481 Å, c = 5.377 Å
α = 90.00°, β = 90.00°, γ = 90.00°
Sites, in units of the cell vectors:
1 Hg 0.000 0.000 0.000
2 Hg 0.000 0.500 0.000
3 Hg 0.500 0.000 0.500
4 Hg 0.500 0.500 0.500
5 Pd 0.045 0.250 0.493
6 Pd 0.455 0.750 0.993
7 Pd 0.545 0.250 0.007
8 Pd 0.955 0.750 0.507
9 O 0.158 0.750 0.189
10 O 0.180 0.605 0.686
11 O 0.180 0.895 0.686
12 O 0.320 0.105 0.186
13 O 0.320 0.395 0.186
14 O 0.342 0.250 0.689
15 O 0.658 0.750 0.311
16 O 0.680 0.605 0.814
17 O 0.680 0.895 0.814
18 O 0.820 0.105 0.314
19 O 0.820 0.395 0.314
20 O 0.842 0.250 0.811

DFT (PBE-GGA) results for a relaxed CsCdMo crystal.

Output
symmetry: F-43m, No. 216
DFT total energy: -2.624 eV/atom
theoretical density: 4.5 Mg/m³

a = 5.624 Å, b = 5.624 Å, c = 5.624 Å
α = 60.00°, β = 60.00°, γ = 60.00°
Sites, in units of the cell vectors:
1 Cs 0.000 0.000 0.000
2 Cd 0.250 0.250 0.250
3 Mo 0.500 0.500 0.500

DFT (PBE-GGA) results for a relaxed PmMo crystal.

Output
symmetry: P-6m2, No. 187
polymorph energy (0 for the lowest one): 299 meV per atom
DFT formation energy: 0.90 eV per atom
theoretical density: 9.1 Mg/m³

a = 3.060 Å, b = 3.060 Å, c = 5.413 Å
α = 90.00°, β = 90.00°, γ = 120.00°
Sites, in units of the cell vectors:
1 Pm 0.000 0.000 0.000
2 Mo 0.333 0.667 0.500

DFT (PBE-GGA) results for a relaxed NdAlNiPt3 crystal.

Output
symmetry: P-6m2, No. 187
DFT total energy: -6.244 eV/atom
theoretical density: 12.8 Mg/m³

a = 5.505 Å, b = 5.505 Å, c = 4.019 Å
α = 90.00°, β = 90.00°, γ = 120.00°
Sites, in units of the cell vectors:
1 Nd 0.000 0.000 0.000
2 Al 0.333 0.667 0.000
3 Ni 0.667 0.333 0.000
4 Pt 0.502 0.003 0.500
5 Pt 0.502 0.498 0.500
6 Pt 0.997 0.498 0.500

DFT (PBE-GGA) results for a relaxed NdGaCu2Ge crystal.

Output
symmetry: P4/nmm, No. 129
DFT total energy: -4.492 eV/atom
theoretical density: 7.7 Mg/m³

a = 4.178 Å, b = 4.178 Å, c = 10.208 Å
α = 90.00°, β = 90.00°, γ = 90.00°
Sites, in units of the cell vectors:
1 Nd 0.250 0.250 0.244
2 Nd 0.750 0.750 0.756
3 Ga 0.250 0.750 0.500
4 Ga 0.750 0.250 0.500
5 Cu 0.250 0.250 0.633
6 Cu 0.250 0.750 0.000
7 Cu 0.750 0.250 0.000
8 Cu 0.750 0.750 0.367
9 Ge 0.250 0.250 0.868
10 Ge 0.750 0.750 0.132

DFT (PBE-GGA) results for a relaxed K2MgAgF6 crystal.

Output
symmetry: Fm-3m, No. 225
polymorph energy (0 for the lowest one): 0 meV per atom
theoretical density: 3.9 Mg/m³

a = 5.814 Å, b = 5.814 Å, c = 5.814 Å
α = 60.00°, β = 60.00°, γ = 60.00°
Sites, in units of the cell vectors:
1 K 0.250 0.250 0.250
2 K 0.750 0.750 0.750
3 Mg 0.000 0.000 0.000
4 Ag 0.500 0.500 0.500
5 F 0.236 0.236 0.764
6 F 0.236 0.764 0.236
7 F 0.236 0.764 0.764
8 F 0.764 0.236 0.236
9 F 0.764 0.236 0.764
10 F 0.764 0.764 0.236

DFT (PBE-GGA) results for a relaxed AgCl5 crystal.

Output
symmetry: P2_1/m, No. 11
DFT total energy: -2.108 eV/atom
theoretical density: 2.6 Mg/m³

a = 6.393 Å, b = 7.843 Å, c = 7.896 Å
α = 90.00°, β = 113.88°, γ = 90.00°
Sites, in units of the cell vectors:
1 Ag 0.191 0.250 0.346
2 Ag 0.809 0.750 0.654
3 Cl 0.102 0.250 0.020
4 Cl 0.266 0.750 0.144
5 Cl 0.299 0.618 0.659
6 Cl 0.299 0.882 0.659
7 Cl 0.319 0.250 0.676
8 Cl 0.681 0.750 0.324
9 Cl 0.701 0.118 0.341
10 Cl 0.701 0.382 0.341
11 Cl 0.734 0.250 0.856
12 Cl 0.898 0.750 0.980

DFT (PBE-GGA) results for a relaxed Tm2TlP crystal.

Output
symmetry: C2/m, No. 12
DFT total energy: -5.131 eV/atom
theoretical density: 9.4 Mg/m³

a = 3.845 Å, b = 3.845 Å, c = 8.211 Å
α = 103.72°, β = 103.72°, γ = 60.17°
Sites, in units of the cell vectors:
1 Tm 0.234 0.234 0.200
2 Tm 0.766 0.766 0.800
3 Tl 0.000 0.000 0.500
4 P 0.500 0.500 0.000

DFT (PBE-GGA) results for a relaxed DyInAsO crystal.

Output
symmetry: P4/nmm, No. 129
polymorph energy (0 for the lowest one): 828 meV per atom
theoretical density: 7.3 Mg/m³

a = 4.451 Å, b = 4.451 Å, c = 8.405 Å
α = 90.00°, β = 90.00°, γ = 90.00°
Sites, in units of the cell vectors:
1 Dy 0.250 0.750 0.000
2 Dy 0.750 0.250 0.000
3 In 0.250 0.250 0.407
4 In 0.750 0.750 0.593
5 As 0.250 0.250 0.798
6 As 0.750 0.750 0.202
7 O 0.250 0.750 0.500
8 O 0.750 0.250 0.500

DFT (PBE-GGA) results for a relaxed AlMoPt2 crystal.

Output
symmetry: F-43m, No. 216
DFT total energy: -6.997 eV/atom
theoretical density: 13.9 Mg/m³

a = 4.426 Å, b = 4.426 Å, c = 4.426 Å
α = 60.00°, β = 60.00°, γ = 60.00°
Sites, in units of the cell vectors:
1 Al 0.000 0.000 0.000
2 Mo 0.250 0.250 0.250
3 Pt 0.500 0.500 0.500
4 Pt 0.750 0.750 0.750